Density functional theory data (PBE) for a relaxed Dy3Er4Pu crystal.

Energy of formation (eV/atom): 0.15

Unit cell a=3.3940 b=11.4500 c=12.6679 alpha=90.00 beta=90.00 gamma=90.00
Space group Immm (No. 71)
Symmetry-distinct sites (fractional):
Dy (0.0000, 0.0000, 0.0000) [2 per cell]
Dy (0.0000, 0.5000, 0.2372) [4 per cell]
Er (0.0000, 0.2480, 0.3677) [8 per cell]
Pu (0.0000, 0.0000, 0.5000) [2 per cell]


Density functional theory data (PBE) for a relaxed CaU2P2O18 crystal.

E_form (uncorrected) (eV/atom): -1.700
Energy above the most stable polymorph in this dataset (eV/atom): 0.000

Unit cell a=6.9371 b=6.9646 c=8.1857 alpha=90.00 beta=90.00 gamma=90.00
Space group Pmm2 (No. 25)
Symmetry-distinct sites (fractional):
Ca (0.0000, 0.0000, 0.0000) [1 per cell]
U (0.0000, 0.0000, 0.4987) [1 per cell]
U (0.5000, 0.5000, 0.7238) [1 per cell]
P (0.0000, 0.5000, 0.6132) [1 per cell]
P (0.5000, 0.0000, 0.6110) [1 per cell]
O (0.0000, 0.0000, 0.2664) [1 per cell]
O (0.0000, 0.0000, 0.7315) [1 per cell]
O (0.0000, 0.3188, 0.5024) [2 per cell]
O (0.0000, 0.4121, 0.0945) [2 per cell]
O (0.1771, 0.5000, 0.7273) [2 per cell]
O (0.3177, 0.0000, 0.5005) [2 per cell]
O (0.4025, 0.0000, 0.0923) [2 per cell]
O (0.5000, 0.1780, 0.7229) [2 per cell]
O (0.5000, 0.2436, 0.1184) [2 per cell]
O (0.5000, 0.5000, 0.5029) [1 per cell]
O (0.5000, 0.5000, 0.9547) [1 per cell]


Number 1: DOS(E_F) 34.36 states/eV/cell, E_tot -5.65 eV per atom. Number 2: DOS(E_F) 5.32 states/eV/cell, E_tot -7.12 eV per atom.